Ac2AlP3 | the Alexandria database | GGA-PBE | relaxed; electronic total energy = -5.84 eV per atom; formation energy from the elements = -1137 meV per atom
1.0
3.293 -6.617 0.000
3.293 6.617 0.000
-1.104 0.000 14.493
Ac Al P
8 4 12
direct
0.023 0.439 0.342 Ac
0.145 0.347 0.928 Ac
0.347 0.145 0.428 Ac
0.439 0.023 0.842 Ac
0.561 0.977 0.158 Ac
0.653 0.855 0.572 Ac
0.855 0.653 0.072 Ac
0.977 0.561 0.658 Ac
0.271 0.276 0.158 Al
0.276 0.271 0.658 Al
0.724 0.729 0.342 Al
0.729 0.724 0.842 Al
0.012 0.988 0.750 P
0.124 0.485 0.131 P
0.134 0.339 0.527 P
0.339 0.134 0.027 P
0.399 0.601 0.750 P
0.485 0.124 0.631 P
0.515 0.876 0.369 P
0.601 0.399 0.250 P
0.661 0.866 0.973 P
0.866 0.661 0.473 P
0.876 0.515 0.869 P
0.988 0.012 0.250 P